Here is Dy3Ho8Th2 after structural relaxation from Alexandria via LeMat-Bulk. Energies are from PBE-GGA.

crystal system	triclinic
uncorrected energy	-4.908	eV/atom
ΔE_f	142	kJ/mol of formula units
E above lowest polymorph	0.0	meV/atom

Unit cell a=6.1092 b=7.6469 c=18.5086 alpha=85.95 beta=80.87 gamma=77.28
Element x y z (fractional)
Dy1 0.0000 0.0000 0.0000
Dy2 0.0000 0.0000 0.5000
Dy3 0.3328 0.6852 0.2256
Dy4 0.4299 0.2432 0.2913
Dy5 0.5701 0.7568 0.7087
Dy6 0.6672 0.3148 0.7744
Ho1 0.9996 0.0203 0.3219
Ho2 0.0004 0.9797 0.6781
Ho3 0.1115 0.5561 0.0758
Ho4 0.1142 0.5316 0.7396
Ho5 0.2315 0.0948 0.8154
Ho6 0.3341 0.6592 0.8877
Ho7 0.3644 0.6464 0.5618
Ho8 0.4459 0.2179 0.9630
Ho9 0.4488 0.1808 0.6144
Ho10 0.5512 0.8192 0.3856
Ho11 0.5541 0.7821 0.0370
Ho12 0.6356 0.3536 0.4382
Ho13 0.6659 0.3408 0.1123
Ho14 0.7685 0.9052 0.1846
Ho15 0.8858 0.4684 0.2604
Ho16 0.8885 0.4439 0.9242
Th1 0.0911 0.5700 0.4142
Th2 0.2209 0.1207 0.1464
Th3 0.7791 0.8793 0.8536
Th4 0.9089 0.4300 0.5858